Entry 1:
Density functional theory data (PBE) for a geometry-optimized HfTi2Cu structure.

Results
SG = I-42d
Distance to the lowest polymorph of the same formula = 0.377 eV per atom
Volume = 142.0 Å³ per cell

Cell lengths 3.801, 3.801, 10.188 Å; angles 79.25, 79.25, 90.00 degrees
Element x y z (fractional)
Ti 0.375 0.383 0.750
Cu 0.250 0.750 0.500
Hf 0.000 0.000 0.000
Cu 0.500 0.500 0.000
Ti 0.617 0.125 0.250
Hf 0.750 0.250 0.500
Ti 0.133 0.625 0.250
Ti 0.875 0.867 0.750

***

Entry 2:
Density functional theory data (PBE) for a geometry-optimized Hf2TiCu structure.

Results
Raw total energy = -8.0472 eV/atom
SG = P4/mmm
Volume = 73.5 Å³ per cell

Cell lengths 3.103, 3.103, 7.640 Å; angles 90.00, 90.00, 90.00 degrees
Element x y z (fractional)
Cu 0.500 0.500 0.000
Ti 0.500 0.500 0.500
Hf 0.000 0.000 0.764
Hf 0.000 0.000 0.236

***

no.,calculated density (g/cm3)
1,7.90
2,10.58